[1]
This record from Alexandria describes a PBEsol-optimized structure of Mg2ZnAgBi. The functional is meta-GGA SCAN.

a b c (Å): 4.777 5.073 5.073
angles (deg): 90.00 90.00 90.00
Atoms (fractional coordinates):
Mg  0.000  0.000  0.500
Mg  0.000  0.500  0.000
Zn  0.500  0.000  0.000
Bi  0.500  0.500  0.500
Ag  0.000  0.000  0.000

Its space group is P4/mmm. The value obtained for the formation energy from the elements is 0.15 eV/atom.

[2]
This record from Alexandria describes a PBEsol-optimized structure of Mn3AgBi. The functional is meta-GGA SCAN.

a b c (Å): 5.014 5.014 5.014
angles (deg): 90.00 90.00 90.00
Each line ends with the local moment (μB).
Atoms (fractional coordinates):
Mn  0.000  0.500  0.000  4.06
Mn  0.000  0.000  0.500  4.06
Mn  0.500  0.000  0.000  4.06
Bi  0.000  0.000  0.000  -0.05
Ag  0.500  0.500  0.500  -0.07

Its space group is Pm-3m. The value obtained for the formation energy from the elements is 0.97 eV/atom.

[3]
This record from Alexandria describes a PBEsol-optimized structure of NbAg2BiN. The functional is meta-GGA SCAN.

a b c (Å): 5.140 5.140 5.453
angles (deg): 90.00 90.00 90.00
Each line ends with the local moment (μB).
Atoms (fractional coordinates):
Nb  0.000  0.000  0.500  1.44
Bi  0.000  0.000  0.000  0.01
Ag  0.000  0.500  0.000  0.00
Ag  0.500  0.000  0.000  0.00
N  0.500  0.500  0.500  1.51

Its space group is P4/mmm. The energy relative to the elements, uncorrected is 992 kJ/mol of formula units.

[4]
This record from Alexandria describes a PBEsol-optimized structure of SiAg2BiN. The functional is meta-GGA SCAN.

a b c (Å): 4.228 4.228 5.100
angles (deg): 90.00 90.00 90.00
Atoms (fractional coordinates):
Si  0.500  0.500  0.500
Bi  0.000  0.000  0.500
Ag  0.000  0.500  0.000
Ag  0.500  0.000  0.000
N  0.000  0.000  0.000

Its space group is P4/mmm. The energy relative to the elements, uncorrected is 412 kJ/mol of formula units.

Number 1: V 123.0 Å³ per cell. Number 2: V 126.0 Å³ per cell. Number 3: V 144.0 Å³ per cell. Number 4: V 91.2 Å³ per cell.